# LiGdSiAg

An optimized crystal structure of LiGdSiAg (PBE, Alexandria via LeMat-Bulk). Values from VASP.

```
&SYSTEM
  ibrav = 0, nat = 4, ntyp = 4
/
ATOMIC_SPECIES
Li 6.94 Li.upf
Gd 157.25 Gd.upf
Si 28.09 Si.upf
Ag 107.87 Ag.upf
ATOMIC_POSITIONS angstrom
Li 0.000 0.000 0.000
Gd 3.418 3.418 3.418
Si 5.126 5.126 5.126
Ag 1.709 1.709 1.709
CELL_PARAMETERS angstrom
0.000 3.418 3.418
3.418 0.000 3.418
3.418 3.418 0.000
```

## Properties
Uncorrected formation energy (eV/atom): -0.33
ρ (g/cm³): 6.2
Space group: No. 216
Volume (Å³/atom): 19.96
Magnetic moment (Bohr magnetons per cell): 7.10